1.
Entry from Alexandria: a geometry-optimized Ti2SnBi structure (PBE-GGA).

Cell lengths 3.8629, 4.6526, 4.6526 Å; angles 90.00, 90.00, 90.00 degrees
Fractional positions:
Ti: 0.0000 0.0000 0.5000
Ti: 0.0000 0.5000 0.0000
Bi: 0.5000 0.0000 0.0000
Sn: 0.5000 0.5000 0.5000

Properties
Space-group type: P4/mmm
Formation enthalpy at 0 K, eV per atom: -0.001

2.
Entry from Alexandria: a geometry-optimized Ti2Sn2Bi structure (PBE-GGA).

Cell lengths 4.4349, 4.4349, 6.9946 Å; angles 71.52, 71.52, 90.00 degrees
Fractional positions:
Ti: 0.7500 0.2500 0.5000
Ti: 0.2500 0.7500 0.5000
Bi: 0.0000 0.0000 0.0000
Sn: 0.3846 0.3846 0.2308
Sn: 0.6154 0.6154 0.7692

Properties
Space-group type: I4/mmm
Formation enthalpy at 0 K, eV per atom: 0.211

3.
Entry from Alexandria: a geometry-optimized Ti2Sn2Bi structure (PBE-GGA).

Cell lengths 8.6211, 8.6211, 3.1095 Å; angles 90.00, 90.00, 90.00 degrees
Fractional positions:
Ti: 0.1182 0.6182 0.5000
Ti: 0.6182 0.8818 0.5000
Ti: 0.8818 0.3818 0.5000
Ti: 0.3818 0.1182 0.5000
Bi: 0.0000 0.0000 0.0000
Bi: 0.5000 0.5000 0.0000
Sn: 0.3296 0.8296 0.0000
Sn: 0.8296 0.6704 0.0000
Sn: 0.6704 0.1704 0.0000
Sn: 0.1704 0.3296 0.0000

Properties
Space-group type: P4/mbm
Formation enthalpy at 0 K, eV per atom: -0.013

4.
Entry from Alexandria: a geometry-optimized Ti8SnBi2 structure (PBE-GGA).

Cell lengths 4.6177, 7.1595, 7.4278 Å; angles 116.01, 108.11, 90.00 degrees
Fractional positions:
Ti: 0.4173 0.5586 0.8346
Ti: 0.6737 0.8937 0.3473
Ti: 0.8499 0.8015 0.6997
Ti: 0.9676 0.2430 0.9352
Ti: 0.1501 0.1985 0.3003
Ti: 0.3263 0.1063 0.6527
Ti: 0.5827 0.4414 0.1654
Ti: 0.0324 0.7570 0.0648
Sn: 0.5000 0.0000 0.0000
Bi: 0.7950 0.3512 0.5900
Bi: 0.2050 0.6488 0.4100

Properties
Space-group type: C2/m
Formation enthalpy at 0 K, eV per atom: -0.141

5.
Entry from Alexandria: a geometry-optimized Ti12Sn3Bi structure (PBE-GGA).

Cell lengths 5.2480, 5.2518, 10.5150 Å; angles 90.00, 90.00, 90.00 degrees
Fractional positions:
Ti: 0.5000 0.0000 0.3711
Ti: 0.5000 0.0000 0.8770
Ti: 0.7507 0.5000 0.0000
Ti: 0.7451 0.5000 0.5000
Ti: 0.0000 0.7489 0.2466
Ti: 0.0000 0.7489 0.7534
Ti: 0.5000 0.0000 0.1230
Ti: 0.5000 0.0000 0.6289
Ti: 0.2493 0.5000 0.0000
Ti: 0.2549 0.5000 0.5000
Ti: 0.0000 0.2511 0.2466
Ti: 0.0000 0.2511 0.7534
Sn: 0.5000 0.5000 0.2502
Sn: 0.5000 0.5000 0.7498
Sn: 0.0000 0.0000 0.0000
Bi: 0.0000 0.0000 0.5000

Properties
Space-group type: Pmmm
Formation enthalpy at 0 K, eV per atom: -0.246

6.
Entry from Alexandria: a geometry-optimized TiSnBi2 structure (PBE-GGA).

Cell lengths 6.6666, 6.6666, 8.2962 Å; angles 66.31, 66.31, 90.00 degrees
Fractional positions:
Ti: 0.5000 0.5000 0.0000
Ti: 0.2500 0.7500 0.5000
Bi: 0.5831 0.1250 0.2500
Bi: 0.1669 0.6250 0.2500
Bi: 0.3750 0.4169 0.7500
Bi: 0.8750 0.8331 0.7500
Sn: 0.0000 0.0000 0.0000
Sn: 0.7500 0.2500 0.5000

Properties
Space-group type: I-42d
Formation enthalpy at 0 K, eV per atom: 0.308

7.
Entry from Alexandria: a geometry-optimized Ti2Sn2Bi structure (PBE-GGA).

Cell lengths 7.3951, 7.3951, 4.0706 Å; angles 90.00, 90.00, 90.00 degrees
Fractional positions:
Ti: 0.3608 0.8608 0.0000
Ti: 0.8608 0.6392 0.0000
Ti: 0.6392 0.1392 0.0000
Ti: 0.1392 0.3608 0.0000
Bi: 0.0000 0.0000 0.0000
Bi: 0.5000 0.5000 0.0000
Sn: 0.1569 0.6569 0.5000
Sn: 0.6569 0.8431 0.5000
Sn: 0.8431 0.3431 0.5000
Sn: 0.3431 0.1569 0.5000

Properties
Space-group type: P4/mbm
Formation enthalpy at 0 K, eV per atom: -0.118

8.
Entry from Alexandria: a geometry-optimized TiSnBi structure (PBE-GGA).

Cell lengths 3.8352, 4.8099, 4.8099 Å; angles 120.00, 90.00, 90.00 degrees
Last column: magnetic moment on the atom in μB.
Fractional positions:
Ti: 0.1667 0.3333 0.6667  0.70
Bi: 0.6667 0.6667 0.3333  -0.01
Sn: 0.1666 0.0000 0.0000  0.06

Properties
Space-group type: P-6m2
Formation enthalpy at 0 K, eV per atom: 0.240

9.
Entry from Alexandria: a geometry-optimized Ti2SnBi structure (PBE-GGA).

Cell lengths 4.9081, 4.9081, 4.9081 Å; angles 60.00, 60.00, 60.00 degrees
Fractional positions:
Ti: 0.2500 0.2500 0.2500
Ti: 0.7500 0.7500 0.7500
Bi: 0.5000 0.5000 0.5000
Sn: 0.0000 0.0000 0.0000

Properties
Space-group type: Fm-3m
Formation enthalpy at 0 K, eV per atom: 0.028

10.
Entry from Alexandria: a geometry-optimized TiSnBi2 structure (PBE-GGA).

Cell lengths 3.4132, 3.4132, 11.1940 Å; angles 81.23, 81.23, 60.00 degrees
Fractional positions:
Ti: 0.5000 0.5000 0.5000
Bi: 0.0997 0.0997 0.7009
Bi: 0.9003 0.9003 0.2991
Sn: 0.0000 0.0000 0.0000

Properties
Space-group type: R-3m
Formation enthalpy at 0 K, eV per atom: 0.024

11.
Entry from Alexandria: a geometry-optimized Ti4SnBi2 structure (PBE-GGA).

Cell lengths 7.2396, 7.2396, 7.2396 Å; angles 109.53, 109.53, 109.35 degrees
Fractional positions:
Ti: 0.0422 0.2901 0.4072
Ti: 0.3670 0.4599 0.2520
Ti: 0.8829 0.6350 0.5927
Ti: 0.7098 0.1170 0.7520
Ti: 0.3651 0.9579 0.2481
Ti: 0.2078 0.1150 0.7479
Ti: 0.5402 0.7922 0.9072
Ti: 0.8850 0.6330 0.0929
Sn: 0.2500 0.7500 0.5000
Sn: 0.0001 0.0000 0.0000
Bi: 0.5037 0.3750 0.6288
Bi: 0.7462 0.8750 0.3713
Bi: 0.6250 0.2537 0.1287
Bi: 0.1250 0.4963 0.8712

Properties
Space-group type: I-42d
Formation enthalpy at 0 K, eV per atom: -0.165

12.
Entry from Alexandria: a geometry-optimized Ti2SnBi structure (PBE-GGA).

Cell lengths 3.9861, 3.9861, 7.0314 Å; angles 73.53, 73.53, 60.00 degrees
Fractional positions:
Ti: 0.2551 0.2551 0.2348
Ti: 0.7449 0.7449 0.7652
Bi: 0.5000 0.5000 0.5000
Sn: 0.0000 0.0000 0.0000

Properties
Space-group type: R-3m
Formation enthalpy at 0 K, eV per atom: -0.017

13.
Entry from Alexandria: a geometry-optimized Ti6SnBi structure (PBE-GGA).

Cell lengths 4.7910, 5.8152, 5.8152 Å; angles 114.92, 90.00, 90.00 degrees
Fractional positions:
Ti: 0.0000 0.1036 0.4234
Ti: 0.0000 0.5766 0.8964
Ti: 0.0000 0.6224 0.3776
Ti: 0.5000 0.3904 0.0727
Ti: 0.5000 0.9273 0.6096
Ti: 0.5000 0.8787 0.1213
Sn: 0.0000 0.0784 0.9216
Bi: 0.5000 0.4224 0.5776

Properties
Space-group type: Amm2
Formation enthalpy at 0 K, eV per atom: -0.206

14.
Entry from Alexandria: a geometry-optimized Ti2SnBi structure (PBE-GGA).

Cell lengths 7.9054, 6.7957, 6.7995 Å; angles 90.00, 90.00, 90.00 degrees
Last column: magnetic moment on the atom in μB.
Fractional positions:
Ti: 0.9324 0.7745 0.4966  0.98
Ti: 0.5676 0.2745 0.0034  0.98
Ti: 0.4324 0.2255 0.5034  0.98
Ti: 0.0676 0.7255 0.9966  0.98
Ti: 0.0676 0.2255 0.5034  0.98
Ti: 0.4324 0.7255 0.9966  0.98
Ti: 0.5676 0.7745 0.4966  0.98
Ti: 0.9324 0.2745 0.0034  0.98
Sn: 0.7500 0.0997 0.3291  -0.01
Sn: 0.7500 0.5997 0.1709  -0.01
Sn: 0.2500 0.9003 0.6709  -0.01
Sn: 0.2500 0.4003 0.8291  -0.01
Bi: 0.7500 0.9288 0.8459  -0.03
Bi: 0.7500 0.4288 0.6541  -0.03
Bi: 0.2500 0.0712 0.1541  -0.03
Bi: 0.2500 0.5712 0.3459  -0.03

Properties
Space-group type: Pnma
Formation enthalpy at 0 K, eV per atom: -0.026

15.
Entry from Alexandria: a geometry-optimized TiSn2Bi structure (PBE-GGA).

Cell lengths 4.2720, 4.2720, 11.6303 Å; angles 79.42, 79.42, 90.00 degrees
Fractional positions:
Ti: 0.5000 0.5000 0.0000
Ti: 0.2500 0.7500 0.5000
Bi: 0.0000 0.0000 0.0000
Bi: 0.7500 0.2500 0.5000
Sn: 0.6151 0.1250 0.2500
Sn: 0.1349 0.6250 0.2500
Sn: 0.3750 0.3849 0.7500
Sn: 0.8750 0.8651 0.7500

Properties
Space-group type: I-42d
Formation enthalpy at 0 K, eV per atom: 0.149

16.
Entry from Alexandria: a geometry-optimized TiSnBi3 structure (PBE-GGA).

Cell lengths 5.4398, 5.4398, 5.4398 Å; angles 90.00, 90.00, 90.00 degrees
Fractional positions:
Ti: 0.0000 0.0000 0.0000
Bi: 0.0000 0.5000 0.0000
Bi: 0.0000 0.0000 0.5000
Bi: 0.5000 0.0000 0.0000
Sn: 0.5000 0.5000 0.5000

Properties
Space-group type: Pm-3m
Formation enthalpy at 0 K, eV per atom: 0.267

17.
Entry from Alexandria: a geometry-optimized TiSnBi3 structure (PBE-GGA).

Cell lengths 5.7009, 5.7009, 5.7009 Å; angles 90.00, 90.00, 90.00 degrees
Fractional positions:
Ti: 0.5000 0.5000 0.5000
Bi: 0.0000 0.5000 0.0000
Bi: 0.0000 0.0000 0.5000
Bi: 0.5000 0.0000 0.0000
Sn: 0.0000 0.0000 0.0000

Properties
Space-group type: Pm-3m
Formation enthalpy at 0 K, eV per atom: 1.157

18.
Entry from Alexandria: a geometry-optimized TiSn3Bi structure (PBE-GGA).

Cell lengths 5.3460, 5.3460, 5.3460 Å; angles 90.00, 90.00, 90.00 degrees
Fractional positions:
Ti: 0.0000 0.0000 0.0000
Bi: 0.5000 0.5000 0.5000
Sn: 0.0000 0.5000 0.0000
Sn: 0.0000 0.0000 0.5000
Sn: 0.5000 0.0000 0.0000

Properties
Space-group type: Pm-3m
Formation enthalpy at 0 K, eV per atom: 0.280

19.
Entry from Alexandria: a geometry-optimized TiSnBi2 structure (PBE-GGA).

Cell lengths 3.5509, 3.5509, 8.3302 Å; angles 90.00, 90.00, 90.00 degrees
Fractional positions:
Ti: 0.5000 0.5000 0.0000
Bi: 0.0000 0.0000 0.7952
Bi: 0.0000 0.0000 0.2048
Sn: 0.5000 0.5000 0.5000

Properties
Space-group type: P4/mmm
Formation enthalpy at 0 K, eV per atom: 0.057

20.
Entry from Alexandria: a geometry-optimized Ti2SnBi structure (PBE-GGA).

Cell lengths 6.2916, 6.2916, 7.8536 Å; angles 66.39, 66.39, 90.00 degrees
Fractional positions:
Ti: 0.6139 0.1250 0.2500
Ti: 0.1361 0.6250 0.2500
Ti: 0.3750 0.3861 0.7500
Ti: 0.8750 0.8639 0.7500
Bi: 0.0000 0.0000 0.0000
Bi: 0.7500 0.2500 0.5000
Sn: 0.5000 0.5000 0.0000
Sn: 0.2500 0.7500 0.5000

Properties
Space-group type: I-42d
Formation enthalpy at 0 K, eV per atom: 0.642

21.
Entry from Alexandria: a geometry-optimized TiZn2SnBi structure (PBE-GGA).

Cell lengths 4.9762, 5.3634, 4.9762 Å; angles 90.00, 90.00, 90.00 degrees
Fractional positions:
Zn: 0.0000 0.0000 0.5000
Zn: 0.5000 0.0000 0.0000
Ti: 0.0000 0.5000 0.0000
Bi: 0.5000 0.5000 0.5000
Sn: 0.0000 0.0000 0.0000

Properties
Space-group type: P4/mmm
Formation enthalpy at 0 K, eV per atom: 0.620

22.
Entry from Alexandria: a geometry-optimized Tl12SnBi6 structure (PBE-GGA).

Cell lengths 8.5593, 8.5593, 8.5593 Å; angles 90.08, 90.08, 90.08 degrees
Fractional positions:
Tl: 0.5698 0.1939 0.4811
Tl: 0.1939 0.4811 0.5698
Tl: 0.4811 0.5698 0.1939
Tl: 0.4302 0.8061 0.5189
Tl: 0.8061 0.5189 0.4302
Tl: 0.5189 0.4302 0.8061
Tl: 0.9495 0.8506 0.6264
Tl: 0.3736 0.0505 0.1494
Tl: 0.1494 0.3736 0.0505
Tl: 0.0505 0.1494 0.3736
Tl: 0.6264 0.9495 0.8506
Tl: 0.8506 0.6264 0.9495
Sn: 0.0000 0.0000 0.0000
Bi: 0.2689 0.1117 0.7447
Bi: 0.8883 0.2553 0.7311
Bi: 0.2553 0.7311 0.8883
Bi: 0.7311 0.8883 0.2553
Bi: 0.1117 0.7447 0.2689
Bi: 0.7447 0.2689 0.1117

Properties
Space-group type: R-3
Formation enthalpy at 0 K, eV per atom: 0.024

23.
Entry from Alexandria: a geometry-optimized Tl2SnBi2 structure (PBE-GGA).

Cell lengths 6.2187, 6.4568, 9.2279 Å; angles 110.48, 90.00, 90.00 degrees
Fractional positions:
Tl: 0.7500 0.4323 0.8645
Tl: 0.7500 0.8169 0.6337
Tl: 0.2500 0.5677 0.1355
Tl: 0.2500 0.1831 0.3663
Sn: 0.0000 0.0000 0.0000
Sn: 0.5000 0.0000 0.0000
Bi: 0.7500 0.3948 0.2767
Bi: 0.2500 0.1181 0.7233
Bi: 0.2500 0.6052 0.7233
Bi: 0.7500 0.8819 0.2767

Properties
Space-group type: Cmcm
Formation enthalpy at 0 K, eV per atom: 0.061

24.
Entry from Alexandria: a geometry-optimized Tl12SnBi7 structure (PBE-GGA).

Cell lengths 9.9077, 9.9077, 9.9077 Å; angles 111.72, 111.72, 111.72 degrees
Fractional positions:
Tl: 0.9790 0.1859 0.6740
Tl: 0.8141 0.3260 0.0210
Tl: 0.4572 0.1531 0.5739
Tl: 0.8469 0.4261 0.5428
Tl: 0.3260 0.0210 0.8141
Tl: 0.4261 0.5428 0.8469
Tl: 0.5739 0.4572 0.1531
Tl: 0.6740 0.9790 0.1859
Tl: 0.1531 0.5739 0.4572
Tl: 0.5428 0.8469 0.4261
Tl: 0.1859 0.6740 0.9790
Tl: 0.0210 0.8141 0.3260
Sn: 0.0000 0.0000 0.0000
Bi: 0.7943 0.5872 0.8862
Bi: 0.4128 0.1138 0.2057
Bi: 0.1138 0.2057 0.4128
Bi: 0.5000 0.5000 0.5000
Bi: 0.8862 0.7943 0.5872
Bi: 0.5872 0.8862 0.7943
Bi: 0.2057 0.4128 0.1138

Properties
Space-group type: R-3
Formation enthalpy at 0 K, eV per atom: 0.033